Ac6Ir3Pd2Cl | PBE | optimized geometry

Values from the calculation:
Mass density ... 10.1 Mg/m³
Spin magnetization ... 0.0 μB per formula unit
Energy relative to the elements, uncorrected ... -0.891 eV per atom
Calculated total energy ... -6.179 eV per atom

Cell and atoms, written as extended XYZ:
```
12
Lattice="9.611 -2.180 0.000 9.611 2.180 0.000 -2.149 0.000 8.621" Properties=species:S:1:pos:R:3 pbc="T T T"
Ac -0.409 0.000 1.968
Ac 5.325 0.000 3.648
Ac 4.504 0.000 7.819
Ac 12.569 0.000 0.802
Ac 11.748 0.000 4.973
Ac 17.483 0.000 6.654
Ir 2.408 0.000 2.880
Ir 9.611 0.000 0.000
Ir 14.665 0.000 5.742
Pd 1.383 0.000 7.162
Pd 15.691 0.000 1.460
Cl 8.537 0.000 4.311
```